Record 1
The following is a PBE calculation of a geometry-optimized CsK6Rb12 structure, from Alexandria via LeMat-Bulk.

Values from the calculation:
Formation energy: 0.024 eV per atom

Cell: 11.8812 11.8812 11.8812 Å, 88.57 88.57 88.57°
Fractional positions:
Cs: 0.0000 0.0000 0.0000
K: 0.7343 0.8859 0.2730
K: 0.7270 0.2657 0.1141
K: 0.1141 0.7270 0.2657
K: 0.2657 0.1141 0.7270
K: 0.2730 0.7343 0.8859
K: 0.8859 0.2730 0.7343
Rb: 0.8024 0.5239 0.4293
Rb: 0.4293 0.8024 0.5239
Rb: 0.5239 0.4293 0.8024
Rb: 0.1976 0.4761 0.5707
Rb: 0.5707 0.1976 0.4761
Rb: 0.4761 0.5707 0.1976
Rb: 0.0411 0.1567 0.3823
Rb: 0.8433 0.6177 0.9589
Rb: 0.6177 0.9589 0.8433
Rb: 0.9589 0.8433 0.6177
Rb: 0.1567 0.3823 0.0411
Rb: 0.3823 0.0411 0.1567

***

Record 2
The following is a PBE calculation of a geometry-optimized Pa2Ti2S7 structure, from Alexandria via LeMat-Bulk.

Values from the calculation:
Uncorrected formation energy: -1341 meV per atom

Cell: 8.7379 8.7379 8.7379 Å, 60.00 60.00 60.00°
Fractional positions:
Pa: 0.6250 0.6250 0.6250
Pa: 0.6250 0.6250 0.1250
Pa: 0.6250 0.1250 0.6250
Pa: 0.1250 0.6250 0.6250
Ti: 0.6250 0.1250 0.1250
Ti: 0.1250 0.6250 0.1250
Ti: 0.1250 0.1250 0.6250
Ti: 0.1250 0.1250 0.1250
S: 0.2184 0.2184 0.7816
S: 0.2184 0.7816 0.2184
S: 0.4684 0.0316 0.4684
S: 0.4684 0.4684 0.0316
S: 0.7500 0.7500 0.7500
S: 0.7816 0.2184 0.2184
S: 0.4684 0.0316 0.0316
S: 0.0316 0.4684 0.4684
S: 0.0316 0.0316 0.4684
S: 0.0316 0.4684 0.0316
S: 0.2184 0.7816 0.7816
S: 0.5000 0.5000 0.5000
S: 0.7816 0.2184 0.7816
S: 0.7816 0.7816 0.2184

***

Record 3
The following is a PBE calculation of a geometry-optimized CaAc7Pr4 structure, from Alexandria via LeMat-Bulk.

Values from the calculation:
Formation energy: 0.030 eV per atom

Cell: 7.7831 10.3327 10.3095 Å, 68.74 78.30 40.78°
Fractional positions:
Ca: 0.0000 0.0000 0.0000
Ac: 0.7520 0.5025 0.0028
Ac: 0.2480 0.4975 0.9972
Ac: 0.0022 0.3342 0.6633
Ac: 0.9978 0.6658 0.3367
Ac: 0.2515 0.8317 0.6601
Ac: 0.5000 0.0000 0.0000
Ac: 0.7485 0.1683 0.3399
Pr: 0.5100 0.6599 0.3372
Pr: 0.4900 0.3401 0.6628
Pr: 0.7507 0.8334 0.6654
Pr: 0.2493 0.1666 0.3346

***

Record 4
The following is a PBE calculation of a geometry-optimized CaPa2Sb3 structure, from Alexandria via LeMat-Bulk.

Values from the calculation:
Uncorrected formation energy: -507 meV per atom

Cell: 4.3749 8.7564 10.7052 Å, 107.50 90.00 104.47°
Fractional positions:
Ca: 0.5000 0.0000 0.0000
Ca: 0.0000 0.0000 0.5000
Pa: 0.1668 0.3335 0.3276
Pa: 0.8332 0.6665 0.6724
Pa: 0.3318 0.6636 0.1716
Pa: 0.6682 0.3364 0.8284
Sb: 0.9699 0.9398 0.1966
Sb: 0.0301 0.0602 0.8034
Sb: 0.6954 0.3907 0.1363
Sb: 0.3046 0.6093 0.8637
Sb: 0.3568 0.7135 0.4751
Sb: 0.6432 0.2865 0.5249

***

Record 5
The following is a PBE calculation of a geometry-optimized SiPRhO2 structure, from Alexandria via LeMat-Bulk.

Values from the calculation:
Uncorrected formation energy: 98 meV per atom

Cell: 3.7875 3.7875 5.0381 Å, 90.00 90.00 90.00°
Fractional positions:
P: 0.0000 0.0000 0.5000
Si: 0.5000 0.5000 0.5000
Rh: 0.0000 0.0000 0.0000
O: 0.0000 0.5000 0.0000
O: 0.5000 0.0000 0.0000

***

Record 6
The following is a PBE calculation of a geometry-optimized CsK2CeI6 structure, from Alexandria via LeMat-Bulk.

Values from the calculation:
Uncorrected formation energy: -1446 meV per atom

Cell: 8.9130 8.9128 9.4575 Å, 61.89 61.89 60.00°
Fractional positions:
Cs: 0.8104 0.8104 0.5688
K: 0.5235 0.5235 0.4294
K: 0.0076 0.0076 0.9773
Ce: 0.3264 0.3263 0.0210
I: 0.5639 0.2342 0.2367
I: 0.2342 0.9653 0.2367
I: 0.9653 0.5639 0.2367
I: 0.3822 0.6994 0.7696
I: 0.6994 0.1488 0.7696
I: 0.1488 0.3823 0.7696